Record 1
Sr2InGa PBE optimized geometry; ΔE_f = -0.404 eV/atom
1.0
6.696 0.000 0.000
0.000 4.846 0.000
-2.840 0.000 8.243
Sr In Ga
4 2 2
Cartesian
0.137 1.211 3.556
-1.193 1.211 7.612
5.050 3.634 0.631
3.720 3.634 4.687
1.794 3.634 1.809
2.063 1.211 6.434
0.405 3.634 5.866
3.451 1.211 2.377

Record 2
SrTbInGa PBE optimized geometry; ΔE_f = -0.373 eV/atom
1.0
0.000 3.831 3.831
3.831 0.000 3.831
3.831 3.831 0.000
Sr Tb In Ga
1 1 1 1
Cartesian
0.000 0.000 0.000
3.831 3.831 3.831
5.747 5.747 5.747
1.916 1.916 1.916

Record 3
SrIn2GaTc PBE optimized geometry; ΔE_f = -0.163 eV/atom
1.0
5.211 0.000 0.000
0.000 5.211 0.000
0.000 0.000 4.927
Sr In Ga Tc
1 2 1 1
Cartesian
0.000 0.000 0.000
0.000 2.605 2.464
2.605 0.000 2.464
2.605 2.605 0.000
2.605 2.605 2.464